# 1
This record from Alexandria describes a relaxed structure of Mg2TaNi. The functional is GGA-PBE.

```
Mg2TaNi
1.0
-0.644 -1.528 4.204
4.473 -0.372 0.529
-1.796 3.952 -1.257
Mg Ni Ta
2 1 1
direct
0.250 0.750 0.500 Mg
0.000 0.000 0.000 Mg
0.500 0.500 0.000 Ni
0.750 0.250 0.500 Ta
```

Total moment ... 0.0 μB/f.u.
Formation energy ... 0.222 eV per atom


# 2
This record from Alexandria describes a relaxed structure of Mg2TaNi. The functional is GGA-PBE.

```
Mg2TaNi
1.0
-2.741 -3.671 -8.405
-1.736 -6.080 -7.187
-4.440 -5.229 -6.677
Mg Ni Ta
2 1 1
direct
0.990 0.990 0.990 Mg
0.510 0.510 0.510 Mg
0.250 0.250 0.250 Ni
0.750 0.750 0.750 Ta
```

Total moment ... 0.0 μB/f.u.
Formation energy ... 0.210 eV per atom